# 1
The following is a meta-GGA SCAN calculation of In2GaHg2 at its PBEsol-relaxed geometry, from the Alexandria database.

energy relative to the elements: 0.128 eV/atom
D(E_F): 4.77 states/eV/cell
total magnetic moment: 0.0 μB/cell
VASP energy: -43.76 eV/atom
volume: 23.986 A^3/atom
relative energy among the computed polymorphs: 0.000 eV per formula unit

a b c (Å): 7.3854 7.3854 4.3976
angles (deg): 90.00 90.00 90.00
Sites, in units of the cell vectors:
In1 0.1653 0.3347 0.0000
In2 0.3347 0.8347 0.0000
In3 0.6653 0.1653 0.0000
In4 0.8347 0.6653 0.0000
Ga1 0.0000 0.0000 0.5000
Ga2 0.5000 0.5000 0.5000
Hg1 0.1433 0.6433 0.5000
Hg2 0.3567 0.1433 0.5000
Hg3 0.6433 0.8567 0.5000
Hg4 0.8567 0.3567 0.5000

---

# 2
The following is a meta-GGA SCAN calculation of In2GaHg2 at its PBEsol-relaxed geometry, from the Alexandria database.

energy relative to the elements: 0.182 eV/atom
D(E_F): 1.69 states/eV/cell
total magnetic moment: 0.0 μB/cell
VASP energy: -43.71 eV/atom
volume: 25.079 A^3/atom
relative energy among the computed polymorphs: 0.269 eV per formula unit

a b c (Å): 7.4766 7.4766 7.4766
angles (deg): 146.71 146.71 47.79
Sites, in units of the cell vectors:
In1 0.2500 0.7500 0.5000
In2 0.7500 0.2500 0.5000
Ga1 0.0000 0.0000 0.0000
Hg1 0.4002 0.4002 0.0000
Hg2 0.5998 0.5998 0.0000